Below is an optimized crystal structure of LaTcGe2Os, with properties calculated at the PBE level.

The structure in CIF format:
```
data_LaTcGe2Os
_cell_length_a 4.3029
_cell_length_b 4.3029
_cell_length_c 6.0294
_cell_angle_alpha 110.91
_cell_angle_beta 110.91
_cell_angle_gamma 90.00
_space_group_name_H-M_alt 'P 1'
_space_group_IT_number 1
loop_
_space_group_symop_operation_xyz
'x,y,z'
loop_
_atom_site_label
_atom_site_fract_x
_atom_site_fract_y
_atom_site_fract_z
Os1 0.2500 0.7500 0.5000
Ge1 0.3699 0.3699 0.7397
Tc1 0.7500 0.2500 0.5000
La1 0.0000 0.0000 0.0000
Ge2 0.6301 0.6301 0.2603
```

## Properties
As for the energy of formation: -41.1 kJ/mol of atoms. The calculation puts the density of states at the Fermi level at 0.914 states/eV/atom. As for the space-group type: I-4m2. The theoretical density comes out at 9.86 g/cm³.



Below is an optimized crystal structure of LaTiGeOs2, with properties calculated at the PBE level.

The structure in CIF format:
```
data_LaTiGeOs2
_cell_length_a 4.8537
_cell_length_b 4.8463
_cell_length_c 4.8537
_cell_angle_alpha 90.00
_cell_angle_beta 90.00
_cell_angle_gamma 90.00
_space_group_name_H-M_alt 'P 1'
_space_group_IT_number 1
loop_
_space_group_symop_operation_xyz
'x,y,z'
loop_
_atom_site_label
_atom_site_fract_x
_atom_site_fract_y
_atom_site_fract_z
Ti1 0.0000 0.5000 0.0000
La1 0.0000 0.0000 0.0000
Os1 0.0000 0.0000 0.5000
Ge1 0.5000 0.5000 0.5000
Os2 0.5000 0.0000 0.0000
```

## Properties
As for the energy of formation: 212.0 kJ/mol of atoms. The calculation puts the density of states at the Fermi level at 1.833 states/eV/atom. As for the space-group type: P4/mmm. The theoretical density comes out at 9.31 g/cm³.



Below is an optimized crystal structure of La2Zn2Ge4Os, with properties calculated at the PBE level.

The structure in CIF format:
```
data_La2Zn2Ge4Os
_cell_length_a 6.3513
_cell_length_b 6.3513
_cell_length_c 6.3513
_cell_angle_alpha 89.39
_cell_angle_beta 120.35
_cell_angle_gamma 120.35
_space_group_name_H-M_alt 'P 1'
_space_group_IT_number 1
loop_
_space_group_symop_operation_xyz
'x,y,z'
loop_
_atom_site_label
_atom_site_fract_x
_atom_site_fract_y
_atom_site_fract_z
Ge1 0.5650 0.2825 0.2825
Ge2 0.0000 0.2825 0.7175
Ge3 0.0000 0.7175 0.2825
Os1 0.0000 0.0000 0.0000
Zn1 0.0000 0.7112 0.7112
Zn2 0.0000 0.2888 0.2888
Ge4 0.4350 0.7175 0.7175
La1 0.5000 0.7500 0.2500
La2 0.5000 0.2500 0.7500
```

## Properties
As for the energy of formation: -43.3 kJ/mol of atoms. The calculation puts the density of states at the Fermi level at 0.413 states/eV/atom. As for the space-group type: I4/mmm. The theoretical density comes out at 8.20 g/cm³.



Below is an optimized crystal structure of LaGeP2, with properties calculated at the PBE level.

The structure in CIF format:
```
data_LaGeP2
_cell_length_a 4.5728
_cell_length_b 4.5728
_cell_length_c 7.5899
_cell_angle_alpha 72.47
_cell_angle_beta 72.47
_cell_angle_gamma 60.00
_space_group_name_H-M_alt 'P 1'
_space_group_IT_number 1
loop_
_space_group_symop_operation_xyz
'x,y,z'
loop_
_atom_site_label
_atom_site_fract_x
_atom_site_fract_y
_atom_site_fract_z
P1 0.1027 0.1027 0.6919
P2 0.8973 0.8973 0.3081
La1 0.5000 0.5000 0.5000
Ge1 0.0000 0.0000 0.0000
```

## Properties
As for the energy of formation: -21.9 kJ/mol of atoms. The calculation puts the density of states at the Fermi level at 0.887 states/eV/atom. As for the space-group type: R-3m. The theoretical density comes out at 3.52 g/cm³.



Below is an optimized crystal structure of La2GeP3, with properties calculated at the PBE level.

The structure in CIF format:
```
data_La2GeP3
_cell_length_a 6.1166
_cell_length_b 7.4097
_cell_length_c 14.1952
_cell_angle_alpha 89.11
_cell_angle_beta 87.84
_cell_angle_gamma 65.62
_space_group_name_H-M_alt 'P 1'
_space_group_IT_number 1
loop_
_space_group_symop_operation_xyz
'x,y,z'
loop_
_atom_site_label
_atom_site_fract_x
_atom_site_fract_y
_atom_site_fract_z
La1 0.4428 0.5837 0.6531
La2 0.0265 0.4163 0.1531
La3 0.9735 0.5837 0.8469
Ge1 0.2989 0.0031 0.3431
P1 0.3435 0.7917 0.4735
Ge2 0.7011 0.9969 0.6569
Ge3 0.6980 0.0031 0.1569
P2 0.8648 0.7917 0.0265
P3 0.0413 0.9174 0.7500
P4 0.4648 0.6197 0.8697
Ge4 0.3020 0.9969 0.8431
P5 0.5352 0.3803 0.1303
La4 0.5572 0.4163 0.3469
P6 0.0844 0.3803 0.3697
La5 0.6536 0.2002 0.9328
P7 0.3799 0.2403 0.7500
P8 0.1352 0.2083 0.9735
P9 0.6565 0.2083 0.5265
P10 0.9587 0.0826 0.2500
La6 0.3464 0.7998 0.0672
La7 0.1461 0.2002 0.5672
P11 0.9156 0.6197 0.6303
La8 0.8539 0.7998 0.4328
P12 0.6201 0.7597 0.2500
```

## Properties
As for the energy of formation: -88.0 kJ/mol of atoms. The calculation puts the density of states at the Fermi level at 0.467 states/eV/atom. As for the space-group type: C2/c. The theoretical density comes out at 5.03 g/cm³.



Below is an optimized crystal structure of La8GeP5, with properties calculated at the PBE level.

The structure in CIF format:
```
data_La8GeP5
_cell_length_a 7.8475
_cell_length_b 7.8475
_cell_length_c 7.8475
_cell_angle_alpha 109.39
_cell_angle_beta 109.63
_cell_angle_gamma 109.39
_space_group_name_H-M_alt 'P 1'
_space_group_IT_number 1
loop_
_space_group_symop_operation_xyz
'x,y,z'
loop_
_atom_site_label
_atom_site_fract_x
_atom_site_fract_y
_atom_site_fract_z
P1 0.0033 0.3812 0.1303
La1 0.6280 0.3826 0.8744
La2 0.1272 0.7632 0.0137
P2 0.7491 0.6188 0.6221
La3 0.7546 0.2464 0.3720
La4 0.9863 0.1134 0.7495
La5 0.2505 0.2368 0.3639
P3 0.3779 0.1270 0.9967
Ge1 0.2500 0.5000 0.7500
La6 0.6361 0.8866 0.8728
P4 0.8697 0.8730 0.2509
P5 0.5000 0.0000 0.5000
La7 0.1256 0.7536 0.5081
La8 0.4919 0.6174 0.2454
```

## Properties
As for the energy of formation: -121.4 kJ/mol of atoms. The calculation puts the density of states at the Fermi level at 1.085 states/eV/atom. As for the space-group type: I-4. The theoretical density comes out at 5.98 g/cm³.



Below is an optimized crystal structure of LaGeP2, with properties calculated at the PBE level.

The structure in CIF format:
```
data_LaGeP2
_cell_length_a 4.9402
_cell_length_b 4.9402
_cell_length_c 4.9402
_cell_angle_alpha 60.00
_cell_angle_beta 60.00
_cell_angle_gamma 60.00
_space_group_name_H-M_alt 'P 1'
_space_group_IT_number 1
loop_
_space_group_symop_operation_xyz
'x,y,z'
loop_
_atom_site_label
_atom_site_fract_x
_atom_site_fract_y
_atom_site_fract_z
La1 0.5000 0.5000 0.5000
P1 0.2500 0.2500 0.2500
P2 0.7500 0.7500 0.7500
Ge1 0.0000 0.0000 0.0000
```

## Properties
As for the energy of formation: -33.0 kJ/mol of atoms. The calculation puts the density of states at the Fermi level at 1.163 states/eV/atom. As for the space-group type: Fm-3m. The theoretical density comes out at 5.33 g/cm³.



Below is an optimized crystal structure of La2GeP2, with properties calculated at the PBE level.

The structure in CIF format:
```
data_La2GeP2
_cell_length_a 7.6315
_cell_length_b 7.6315
_cell_length_c 4.1135
_cell_angle_alpha 90.00
_cell_angle_beta 90.00
_cell_angle_gamma 90.00
_space_group_name_H-M_alt 'P 1'
_space_group_IT_number 1
loop_
_space_group_symop_operation_xyz
'x,y,z'
loop_
_atom_site_label
_atom_site_fract_x
_atom_site_fract_y
_atom_site_fract_z
Ge1 0.5000 0.5000 0.0000
P1 0.1556 0.3444 0.0000
La1 0.3430 0.1570 0.5000
Ge2 0.0000 0.0000 0.0000
La2 0.8430 0.3430 0.5000
La3 0.6570 0.8430 0.5000
P2 0.8444 0.6556 0.0000
P3 0.6556 0.1556 0.0000
P4 0.3444 0.8444 0.0000
La4 0.1570 0.6570 0.5000
```

## Properties
As for the energy of formation: -98.9 kJ/mol of atoms. The calculation puts the density of states at the Fermi level at 0.218 states/eV/atom. As for the space-group type: P4/mbm. The theoretical density comes out at 5.72 g/cm³.



Below is an optimized crystal structure of LaGeP2, with properties calculated at the PBE level.

The structure in CIF format:
```
data_LaGeP2
_cell_length_a 7.0240
_cell_length_b 7.0240
_cell_length_c 6.2161
_cell_angle_alpha 55.60
_cell_angle_beta 55.60
_cell_angle_gamma 90.00
_space_group_name_H-M_alt 'P 1'
_space_group_IT_number 1
loop_
_space_group_symop_operation_xyz
'x,y,z'
loop_
_atom_site_label
_atom_site_fract_x
_atom_site_fract_y
_atom_site_fract_z
La1 0.7500 0.2500 0.5000
P1 0.5590 0.1250 0.2500
La2 0.0000 0.0000 0.0000
P2 0.3750 0.4410 0.7500
Ge1 0.2500 0.7500 0.5000
P3 0.1910 0.6250 0.2500
Ge2 0.5000 0.5000 0.0000
P4 0.8750 0.8090 0.7500
```

## Properties
As for the energy of formation: -51.0 kJ/mol of atoms. The calculation puts the density of states at the Fermi level at 0.726 states/eV/atom. As for the space-group type: I-42d. The theoretical density comes out at 4.93 g/cm³.



Below is an optimized crystal structure of LaGe2P, with properties calculated at the PBE level.

The structure in CIF format:
```
data_LaGe2P
_cell_length_a 7.3645
_cell_length_b 7.3645
_cell_length_c 6.2489
_cell_angle_alpha 53.89
_cell_angle_beta 53.89
_cell_angle_gamma 90.00
_space_group_name_H-M_alt 'P 1'
_space_group_IT_number 1
loop_
_space_group_symop_operation_xyz
'x,y,z'
loop_
_atom_site_label
_atom_site_fract_x
_atom_site_fract_y
_atom_site_fract_z
La1 0.0000 0.0000 0.0000
P1 0.2500 0.7500 0.5000
Ge1 0.1999 0.6250 0.2500
Ge2 0.3750 0.4499 0.7500
Ge3 0.8750 0.8001 0.7500
P2 0.5000 0.5000 0.0000
La2 0.7500 0.2500 0.5000
Ge4 0.5501 0.1250 0.2500
```

## Properties
As for the energy of formation: -29.1 kJ/mol of atoms. The calculation puts the density of states at the Fermi level at 0.569 states/eV/atom. As for the space-group type: I-42d. The theoretical density comes out at 5.59 g/cm³.



Below is an optimized crystal structure of LaGeP3, with properties calculated at the PBE level.

The structure in CIF format:
```
data_LaGeP3
_cell_length_a 5.3611
_cell_length_b 5.3611
_cell_length_c 5.3611
_cell_angle_alpha 90.00
_cell_angle_beta 90.00
_cell_angle_gamma 90.00
_space_group_name_H-M_alt 'P 1'
_space_group_IT_number 1
loop_
_space_group_symop_operation_xyz
'x,y,z'
loop_
_atom_site_label
_atom_site_fract_x
_atom_site_fract_y
_atom_site_fract_z
P1 0.0000 0.5000 0.0000
Ge1 0.5000 0.5000 0.5000
La1 0.0000 0.0000 0.0000
P2 0.0000 0.0000 0.5000
P3 0.5000 0.0000 0.0000
```

## Properties
As for the energy of formation: 95.8 kJ/mol of atoms. The calculation puts the density of states at the Fermi level at 1.698 states/eV/atom. As for the space-group type: Pm-3m. The theoretical density comes out at 3.28 g/cm³.



Below is an optimized crystal structure of LaGeP3, with properties calculated at the PBE level.

The structure in CIF format:
```
data_LaGeP3
_cell_length_a 4.7697
_cell_length_b 4.7697
_cell_length_c 4.7697
_cell_angle_alpha 90.00
_cell_angle_beta 90.00
_cell_angle_gamma 90.00
_space_group_name_H-M_alt 'P 1'
_space_group_IT_number 1
loop_
_space_group_symop_operation_xyz
'x,y,z'
loop_
_atom_site_label
_atom_site_fract_x
_atom_site_fract_y
_atom_site_fract_z
P1 0.0000 0.5000 0.0000
P2 0.5000 0.0000 0.0000
Ge1 0.0000 0.0000 0.0000
P3 0.0000 0.0000 0.5000
La1 0.5000 0.5000 0.5000
```

## Properties
As for the energy of formation: -6.7 kJ/mol of atoms. The calculation puts the density of states at the Fermi level at 0.793 states/eV/atom. As for the space-group type: Pm-3m. The theoretical density comes out at 4.66 g/cm³.